Density functional theory data (PBE with a Hubbard U) for NaEuSbWO6 after structural relaxation.

Cell lengths 8.379, 8.379, 8.379 Å; angles 90.00, 90.00, 90.00 degrees
Space group F-43m (No. 216)
Asymmetric unit:
Na  0.000  0.000  0.000 x4
Eu  0.000  0.000  0.500 x4
Sb  0.250  0.250  0.250 x4
W  0.250  0.250  0.750 x4
O  0.017  0.250  0.750 x24

Summary:
E_tot, eV for the cell shown: -286.953
Magnetic moment, μB/cell: 28.0